Entry 1:
Here is a relaxed SrTlIn2 crystal from the Alexandria database. Energies are from PBE.

a = 3.6044 Å, b = 6.3077 Å, c = 6.3077 Å
α = 120.89°, β = 90.00°, γ = 90.00°
Element x y z (fractional)
In 0.5000 0.4450 0.0550
In 0.5000 0.9450 0.5550
Tl 0.5000 0.4450 0.5550
Sr 0.0000 0.9450 0.0550

Values from the calculation:
The volume comes out at 123.06 Å³ per cell. As for the size of the total moment: 0.0 μB per formula unit. The total energy is -10.32 eV/cell. The value obtained for the formation energy from the elements is -0.80 eV per formula unit. Its density of states at the Fermi level is 0.607 states/eV/atom.

***

Entry 2:
Here is a relaxed Sr3Tl4In crystal from the Alexandria database. Energies are from PBE.

a = 4.0442 Å, b = 6.9418 Å, c = 10.8299 Å
α = 108.69°, β = 100.76°, γ = 90.00°
Element x y z (fractional)
Tl 0.6222 0.8571 0.2445
Tl 0.3778 0.6126 0.7555
In 0.5000 0.0000 0.0000
Sr 0.2275 0.2275 0.4550
Sr 0.7725 0.7725 0.5450
Tl 0.3778 0.1429 0.7555
Tl 0.6222 0.3874 0.2445
Sr 0.0000 0.5000 0.0000

Values from the calculation:
The volume comes out at 282.35 Å³ per cell. As for the size of the total moment: 0.0 μB per formula unit. The total energy is -18.95 eV/cell. The value obtained for the formation energy from the elements is -1.71 eV per formula unit. The energy above the most stable polymorph in this dataset is 134.6 meV/atom. Its density of states at the Fermi level is 0.733 states/eV/atom.